[1]
The following is a GGA-PBEsol calculation of an optimized crystal structure of ZnNi, from Alexandria.

```
ZnNi
1.0
-0.559 -3.674 1.738
2.482 -1.895 -3.208
4.126 0.689 2.784
Zn Ni
4 4
direct
0.750 0.404 0.125 Zn
0.250 0.596 0.875 Zn
0.250 0.096 0.625 Zn
0.750 0.904 0.375 Zn
0.750 0.916 0.876 Ni
0.750 0.416 0.624 Ni
0.250 0.584 0.376 Ni
0.250 0.084 0.124 Ni
```

Properties
final energy: -4.08 eV per atom
DOS(E_F): 0.54 states/eV/atom
ΔE_f: -205 meV/atom



[2]
The following is a GGA-PBEsol calculation of an optimized crystal structure of Zn2Ni, from Alexandria.

```
Zn2Ni
1.0
2.704 0.000 0.000
0.000 2.704 0.000
-1.352 -1.352 5.062
Zn Ni
2 1
direct
0.845 0.845 0.689 Zn
0.155 0.155 0.311 Zn
0.500 0.500 0.000 Ni
```

Properties
final energy: -3.28 eV per atom
DOS(E_F): 0.58 states/eV/atom
ΔE_f: -177 meV/atom



[3]
The following is a GGA-PBEsol calculation of an optimized crystal structure of ZnNi4, from Alexandria.

```
ZnNi4
1.0
-3.182 0.617 1.359
-0.889 -2.300 3.506
-0.087 3.139 2.918
Ni Zn
4 1
direct
0.401 0.796 0.403 Ni
0.197 0.403 0.204 Ni
0.599 0.204 0.597 Ni
0.803 0.597 0.796 Ni
0.000 0.000 0.000 Zn
```

Properties
final energy: -5.34 eV per atom
DOS(E_F): 1.34 states/eV/atom
ΔE_f: -102 meV/atom
energy above the lowest structure with this stoichiometry: 0.0 kJ per mole of atoms



Question: Which formula does entry 2 have?
Answer: Zn2Ni



Question: Look up the ΔE_f of the third one.
Answer: -102 meV/atom



Question: Which formula does entry 2 have?
Answer: Zn2Ni



Please write out number 1 again, unchanged.
The following is a GGA-PBEsol calculation of an optimized crystal structure of ZnNi, from Alexandria.

```
ZnNi
1.0
-0.559 -3.674 1.738
2.482 -1.895 -3.208
4.126 0.689 2.784
Zn Ni
4 4
direct
0.750 0.404 0.125 Zn
0.250 0.596 0.875 Zn
0.250 0.096 0.625 Zn
0.750 0.904 0.375 Zn
0.750 0.916 0.876 Ni
0.750 0.416 0.624 Ni
0.250 0.584 0.376 Ni
0.250 0.084 0.124 Ni
```

Properties
final energy: -4.08 eV per atom
DOS(E_F): 0.54 states/eV/atom
ΔE_f: -205 meV/atom